a.
First-principles (PBE) data for an optimized crystal structure of RhW2Br, as listed in the Alexandria database.

Unit cell a=5.7687 b=5.7687 c=6.8364 alpha=65.04 beta=65.04 gamma=90.00
With the nearest neighbours (Å) after each atom.
Positions (direct):
Rh: 0.7500 0.2500 0.5000  4 W 2.40
Rh: 0.0000 0.0000 0.0000  4 W 2.40
W: 0.8750 0.8924 0.7500  2 Rh 2.40, 2 Br 2.52
W: 0.3750 0.3576 0.7500  2 Rh 2.40, 2 Br 2.52
W: 0.1076 0.6250 0.2500  2 Rh 2.40, 2 Br 2.52
W: 0.6424 0.1250 0.2500  2 Rh 2.40, 2 Br 2.52
Br: 0.5000 0.5000 0.0000  4 W 2.52
Br: 0.2500 0.7500 0.5000  4 W 2.52

Output
density	10.0	Mg/m³
D(E_F)	8.65	states/eV per cell
total magnetization	0.0	Bohr magnetons per cell
calculated volume	22.8	Å³ per atom
space-group type	I-42d

---

b.
First-principles (PBE) data for an optimized crystal structure of RhW2Br, as listed in the Alexandria database.

Unit cell a=5.4256 b=5.4256 c=5.4256 alpha=148.75 beta=128.95 gamma=61.09
With the nearest neighbours (Å) after each atom.
Positions (direct):
W: 0.7309 0.2309 0.5000  2 Br 2.58, 4 Rh 2.77
W: 0.0070 0.0070 0.0000  4 Br 2.76, 2 Rh 2.77, 4 W 2.92-2.96
Br: 0.5038 0.5038 0.0000  6 W 2.58-2.76, 2 Rh 2.72
Rh: 0.2583 0.7583 0.5000  2 Br 2.72, 6 W 2.77, 2 Rh 2.92

Output
density	14.3	Mg/m³
D(E_F)	2.28	states/eV per cell
total magnetization	0.0	Bohr magnetons per cell
calculated volume	16.0	Å³ per atom
space-group type	Imm2

---

c.
First-principles (PBE) data for an optimized crystal structure of RhW2Br, as listed in the Alexandria database.

Unit cell a=3.0947 b=3.2371 c=8.1068 alpha=69.16 beta=90.00 gamma=90.00
With the nearest neighbours (Å) after each atom.
Positions (direct):
W: 0.5000 0.4026 0.2028  4 W 2.58-2.86, 2 Br 2.66
W: 0.0000 0.1560 0.0010  4 W 2.58-2.86, 4 Rh 2.63-2.72
Br: 0.0000 0.1359 0.4878  2 W 2.66, 2 Rh 2.88
Rh: 0.5000 0.8055 0.8084  4 W 2.63-2.72, 2 Br 2.88

Output
density	12.0	Mg/m³
D(E_F)	3.38	states/eV per cell
total magnetization	0.0	Bohr magnetons per cell
calculated volume	19.0	Å³ per atom
space-group type	Pm

---

d.
First-principles (PBE) data for an optimized crystal structure of RhW2Br, as listed in the Alexandria database.

Unit cell a=4.5233 b=4.5233 c=4.5233 alpha=118.67 beta=118.67 gamma=92.32
With the nearest neighbours (Å) after each atom.
Positions (direct):
W: 0.0000 0.0000 0.0000  4 Rh 2.79, 4 W 2.79
W: 0.2500 0.7500 0.5000  4 Br 2.79, 4 W 2.79
Br: 0.5000 0.5000 0.0000  4 W 2.79, 4 Rh 2.79
Rh: 0.7500 0.2500 0.5000  4 W 2.79, 4 Br 2.79

Output
density	13.7	Mg/m³
D(E_F)	6.77	states/eV per cell
total magnetization	0.0	Bohr magnetons per cell
calculated volume	16.7	Å³ per atom
space-group type	I-4m2

---

Last place for stability: a

---

a.
First-principles (PBE) data for an optimized crystal structure of RhW2Br, as listed in the Alexandria database.

Unit cell a=5.0404 b=5.0404 c=4.7682 alpha=87.53 beta=87.53 gamma=33.30
With the nearest neighbours (Å) after each atom.
Positions (direct):
W: 0.7260 0.7260 0.7669  1 Br 2.64, 2 Rh 2.69, 4 W 2.84-2.89
W: 0.0012 0.0012 0.0263  2 Br 2.59, 3 Rh 2.77-2.84, 4 W 2.84-2.89
Br: 0.4994 0.4994 0.4772  1 Rh 2.53, 3 W 2.59-2.64
Rh: 0.2733 0.2733 0.2296  1 Br 2.53, 4 W 2.69-2.77

Output
density	13.8	Mg/m³
D(E_F)	2.96	states/eV per cell
total magnetization	0.0	Bohr magnetons per cell
calculated volume	16.6	Å³ per atom
space-group type	Cm

---

b.
First-principles (PBE) data for an optimized crystal structure of RhW2Br, as listed in the Alexandria database.

Unit cell a=4.7043 b=3.7703 c=3.7703 alpha=90.00 beta=90.00 gamma=90.00
With the nearest neighbours (Å) after each atom.
Positions (direct):
Br: 0.5000 0.5000 0.0000  4 Rh 2.67
W: 0.0000 0.0000 0.0000  4 W 2.67
W: 0.0000 0.5000 0.5000  4 W 2.67
Rh: 0.5000 0.0000 0.5000  4 Br 2.67

Output
density	13.7	Mg/m³
D(E_F)	3.41	states/eV per cell
total magnetization	0.0	Bohr magnetons per cell
calculated volume	16.7	Å³ per atom
space-group type	P4/mmm

---

c.
First-principles (PBE) data for an optimized crystal structure of RhW2Br, as listed in the Alexandria database.

Unit cell a=2.9229 b=2.9229 c=8.0078 alpha=90.00 beta=90.00 gamma=90.00
With the nearest neighbours (Å) after each atom.
Positions (direct):
Rh: 0.5000 0.5000 0.7846  4 W 2.66, 4 Rh 2.92
W: 0.5000 0.5000 0.2480  4 Br 2.74, 8 W 2.90-2.92
W: 0.0000 0.0000 0.9939  4 Rh 2.66, 8 W 2.90-2.92
Br: 0.0000 0.0000 0.4735  4 W 2.74, 4 Br 2.92

Output
density	13.4	Mg/m³
D(E_F)	2.99	states/eV per cell
total magnetization	0.0	Bohr magnetons per cell
calculated volume	17.1	Å³ per atom
space-group type	P4mm

---

Last place for stability: b

---

a.
First-principles (PBE) data for an optimized crystal structure of RhW2Br, as listed in the Alexandria database.

Unit cell a=4.4815 b=4.4815 c=4.4815 alpha=60.00 beta=60.00 gamma=60.00
With the nearest neighbours (Å) after each atom.
Positions (direct):
W: 0.2500 0.2500 0.2500  4 Br 2.74, 4 Rh 2.74
W: 0.7500 0.7500 0.7500  4 Rh 2.74, 4 Br 2.74
Br: 0.0000 0.0000 0.0000  8 W 2.74
Rh: 0.5000 0.5000 0.5000  8 W 2.74

Output
density	14.4	Mg/m³
D(E_F)	3.41	states/eV per cell
total magnetization	0.0	Bohr magnetons per cell
calculated volume	15.9	Å³ per atom
space-group type	Fm-3m

---

b.
First-principles (PBE) data for an optimized crystal structure of RhW2Br, as listed in the Alexandria database.

Unit cell a=5.3294 b=5.3294 c=4.4033 alpha=88.51 beta=88.51 gamma=33.45
With the nearest neighbours (Å) after each atom.
Positions (direct):
Rh: 0.2500 0.2500 0.2500  4 Br 2.68, 4 W 2.83
Br: 0.7500 0.7500 0.7500  2 W 2.57, 4 Rh 2.68
W: 0.9665 0.9665 0.0335  2 W 2.55, 1 Br 2.57, 2 Rh 2.83
W: 0.5335 0.5335 0.4665  2 W 2.55, 1 Br 2.57, 2 Rh 2.83

Output
density	13.3	Mg/m³
D(E_F)	2.22	states/eV per cell
total magnetization	0.0	Bohr magnetons per cell
calculated volume	17.2	Å³ per atom
space-group type	C2/m

---

c.
First-principles (PBE) data for an optimized crystal structure of RhW2Br, as listed in the Alexandria database.

Unit cell a=3.7388 b=2.9019 c=6.7917 alpha=90.00 beta=90.00 gamma=90.00
With the nearest neighbours (Å) after each atom.
Positions (direct):
W: 0.0000 0.2504 0.5606  1 W 2.57, 4 Rh 2.69, 2 Br 2.82
W: 0.0000 0.2496 0.9394  1 W 2.57, 4 Rh 2.69, 2 Br 2.82
Br: 0.5000 0.2500 0.2500  4 W 2.82, 2 Br 2.90
Rh: 0.5000 0.7500 0.7500  8 W 2.69, 2 Rh 2.90

Output
density	12.4	Mg/m³
D(E_F)	4.71	states/eV per cell
total magnetization	0.0	Bohr magnetons per cell
calculated volume	18.4	Å³ per atom
space-group type	Pmmm

---

d.
First-principles (PBE) data for an optimized crystal structure of RhW2Br, as listed in the Alexandria database.

Unit cell a=9.2016 b=9.2016 c=9.2016 alpha=18.37 beta=18.37 gamma=18.37
With the nearest neighbours (Å) after each atom.
Positions (direct):
W: 0.2479 0.2479 0.2479  3 Br 2.64, 9 W 2.91-2.94
W: 0.0018 0.0018 0.0018  3 Rh 2.65, 9 W 2.91-2.94
Br: 0.5067 0.5067 0.5067  3 W 2.64, 6 Br 2.94
Rh: 0.7436 0.7436 0.7436  3 W 2.65, 6 Rh 2.94

Output
density	13.5	Mg/m³
D(E_F)	5.48	states/eV per cell
total magnetization	0.0	Bohr magnetons per cell
calculated volume	16.9	Å³ per atom
space-group type	R3m

---

Last place for stability: a

---

a.
First-principles (PBE) data for an optimized crystal structure of RhW2Br, as listed in the Alexandria database.

Unit cell a=8.9790 b=8.9790 c=8.9790 alpha=18.70 beta=18.70 gamma=18.70
With the nearest neighbours (Å) after each atom.
Positions (direct):
W: 0.0013 0.0013 0.0013  3 Rh 2.75, 3 Br 2.80, 6 W 2.92
W: 0.4987 0.4987 0.4987  3 Rh 2.75, 3 Br 2.80, 6 W 2.92
Br: 0.2500 0.2500 0.2500  6 W 2.80, 6 Br 2.92
Rh: 0.7500 0.7500 0.7500  6 W 2.75, 6 Rh 2.92

Output
density	14.1	Mg/m³
D(E_F)	3.85	states/eV per cell
total magnetization	0.0	Bohr magnetons per cell
calculated volume	16.3	Å³ per atom
space-group type	R-3m

---

b.
First-principles (PBE) data for an optimized crystal structure of RhW2Br, as listed in the Alexandria database.

Unit cell a=5.1601 b=5.3118 c=2.8857 alpha=75.30 beta=81.43 gamma=116.34
With the nearest neighbours (Å) after each atom.
Positions (direct):
Rh: 0.5000 0.0000 0.5000  2 Br 2.68, 4 W 2.76, 2 Rh 2.89
W: 0.0000 0.5000 0.5000  4 W 2.68-2.89, 2 Br 2.76, 2 Rh 2.76
W: 0.0000 0.0000 0.0000  4 W 2.68-2.89, 2 Rh 2.76, 2 Br 2.76
Br: 0.5000 0.5000 0.0000  2 Rh 2.68, 4 W 2.76, 2 Br 2.89

Output
density	14.0	Mg/m³
D(E_F)	3.23	states/eV per cell
total magnetization	0.0	Bohr magnetons per cell
calculated volume	16.3	Å³ per atom
space-group type	C2/m

---

Last place for stability: b